The following is a GGA-PBE calculation of a geometry-optimized InSiC3 structure, from Alexandria.

Summary:
E above lowest polymorph	7.24	eV/f.u.
formation energy from raw total energies	3.356	eV/atom
crystal system	cubic
total magnetic moment	0.0	μB per cell

POSCAR file:
```
InSiC3
1.0
4.334 0.000 0.000
0.000 4.334 0.000
0.000 0.000 4.334
C Si In
3 1 1
Cartesian
0.000 0.000 2.167 C
0.000 2.167 0.000 C
2.167 0.000 0.000 C
2.167 2.167 2.167 Si
0.000 0.000 0.000 In
```



The following is a GGA-PBE calculation of a geometry-optimized InSi2SnC structure, from Alexandria.

Summary:
formation energy from raw total energies	0.890	eV/atom
crystal system	tetragonal
total magnetic moment	0.0	μB per cell

POSCAR file:
```
InSi2SnC
1.0
-3.152 1.793 -2.074
-3.433 -2.514 3.043
0.046 3.194 2.692
Sn Si In C
1 2 1 1
Cartesian
-1.716 -1.257 1.522 Sn
-1.576 0.897 -1.037 Si
0.023 1.597 1.346 Si
-3.269 1.237 1.830 In
0.000 0.000 0.000 C
```



The following is a GGA-PBE calculation of a geometry-optimized V2InSiC structure, from Alexandria.

Summary:
formation energy from raw total energies	2.025	eV/atom
crystal system	tetragonal
total magnetic moment	0.0	μB per cell

POSCAR file:
```
V2InSiC
1.0
-2.999 -1.937 -2.648
1.560 -4.338 1.407
-2.949 0.018 3.326
In V Si C
1 2 1 1
Cartesian
0.780 -2.169 0.704 In
-1.474 0.009 1.663 V
-1.500 -0.969 -1.324 V
0.000 0.000 0.000 Si
-2.194 -3.128 1.043 C
```



The following is a GGA-PBE calculation of a geometry-optimized Sm3InC structure, from Alexandria.

Summary:
E above lowest polymorph	0.00	eV/f.u.
formation energy from the elements	-0.38	eV per atom
crystal system	cubic
total magnetic moment	0.0	μB per cell

POSCAR file:
```
Sm3InC
1.0
-4.131 -2.821 0.745
1.911 -1.639 4.386
-2.205 3.864 2.405
C In Sm
1 1 3
Cartesian
0.000 0.000 0.000 C
-2.212 -0.298 3.768 In
0.955 -0.820 2.193 Sm
-2.065 -1.410 0.373 Sm
-1.102 1.932 1.202 Sm
```



The following is a GGA-PBE calculation of a geometry-optimized Sm6In2C structure, from Alexandria.

Summary:
E above lowest polymorph	1.62	eV/f.u.
formation energy from the elements	-0.17	eV per atom
crystal system	orthorhombic
total magnetic moment	0.0	μB per cell

POSCAR file:
```
Sm6In2C
1.0
3.653 0.000 0.000
0.000 8.883 0.000
0.000 -4.442 7.681
Sm C In
6 1 2
Cartesian
1.826 1.813 3.137 Sm
0.000 3.481 6.020 Sm
1.826 6.255 4.544 Sm
0.000 7.923 1.661 Sm
1.826 5.249 0.000 Sm
0.000 1.925 0.000 Sm
1.826 0.010 0.000 C
0.000 -0.003 5.117 In
0.000 4.439 2.563 In
```



The following is a GGA-PBE calculation of a geometry-optimized Sm6In2C structure, from Alexandria.

Summary:
E above lowest polymorph	0.00	eV/f.u.
formation energy from the elements	-0.34	eV per atom
crystal system	cubic
total magnetic moment	0.3	μB per cell

POSCAR file:
```
Sm6In2C
1.0
6.150 0.003 3.549
2.047 5.799 3.549
0.001 0.001 7.101
Sm C In
6 1 2
Cartesian
3.095 4.323 5.359 Sm
5.106 1.481 5.359 Sm
2.089 1.479 7.096 Sm
5.103 1.479 8.841 Sm
3.092 4.321 8.841 Sm
6.109 4.323 7.103 Sm
4.099 2.901 7.100 C
6.149 4.352 10.651 In
2.049 1.451 3.548 In
```



The following is a GGA-PBE calculation of a geometry-optimized Sm3InC structure, from Alexandria.

Summary:
E above lowest polymorph	9.79	eV/f.u.
formation energy from the elements	1.57	eV per atom
crystal system	cubic
total magnetic moment	0.0	μB per cell

POSCAR file:
```
Sm3InC
1.0
-4.655 -1.399 -2.994
-2.852 -0.915 4.861
-1.671 5.459 0.047
Sm C In
3 1 1
Cartesian
-3.753 -1.157 0.933 Sm
-2.261 2.272 2.454 Sm
-3.163 2.030 -1.474 Sm
0.000 0.000 0.000 C
-4.589 1.572 0.957 In
```



The following is a GGA-PBE calculation of a geometry-optimized Sm4InSnC structure, from Alexandria.

Summary:
formation energy from the elements	-0.43	eV per atom
crystal system	orthorhombic
total magnetic moment	0.0	μB per cell

POSCAR file:
```
Sm4InSnC
1.0
7.044 0.000 0.000
0.000 7.043 0.000
-3.522 0.000 8.028
Sm Sn In C
8 2 2 2
Cartesian
1.761 3.522 4.014 Sm
3.522 1.761 1.418 Sm
0.000 5.282 1.408 Sm
3.522 1.761 6.620 Sm
-1.761 0.000 4.014 Sm
0.000 5.282 6.610 Sm
-1.761 3.522 4.014 Sm
1.761 0.000 4.014 Sm
0.000 1.761 1.825 Sn
3.522 5.282 6.204 Sn
0.000 1.761 6.200 In
3.522 5.282 1.828 In
3.522 1.761 3.999 C
0.000 5.282 4.029 C
```



The following is a GGA-PBE calculation of a geometry-optimized TbSm2InC structure, from Alexandria.

Summary:
formation energy from the elements	-0.41	eV per atom
crystal system	tetragonal
total magnetic moment	0.0	μB per cell

POSCAR file:
```
TbSm2InC
1.0
-0.593 -3.082 -3.839
2.369 -3.656 2.569
-4.427 -1.527 1.910
Tb Sm C In
1 2 1 1
Cartesian
-0.297 -1.541 -1.919 Tb
1.185 -1.828 1.284 Sm
-2.213 -0.763 0.955 Sm
0.000 0.000 0.000 C
-1.326 -4.132 0.320 In
```



The following is a GGA-PBE calculation of a geometry-optimized SmTh2InC structure, from Alexandria.

Summary:
formation energy from the elements	-0.34	eV per atom
crystal system	tetragonal
total magnetic moment	0.0	μB per cell

POSCAR file:
```
SmTh2InC
1.0
5.117 0.000 0.000
0.000 5.066 0.000
0.000 0.000 5.066
Sm In Th C
1 1 2 1
Cartesian
2.559 0.000 0.000 Sm
2.559 2.533 2.533 In
0.000 0.000 2.533 Th
0.000 2.533 0.000 Th
0.000 0.000 0.000 C
```



The following is a GGA-PBE calculation of a geometry-optimized Sm2TmInC structure, from Alexandria.

Summary:
formation energy from the elements	-0.43	eV per atom
crystal system	tetragonal
total magnetic moment	0.0	μB per cell

POSCAR file:
```
Sm2TmInC
1.0
-2.347 -1.691 3.885
1.300 -4.729 -1.274
4.237 0.425 2.745
C Tm Sm In
1 1 2 1
Cartesian
0.000 0.000 0.000 C
-1.174 -0.846 1.942 Tm
2.119 0.213 1.373 Sm
0.650 -2.364 -0.637 Sm
1.595 -2.997 2.678 In
```



The following is a GGA-PBE calculation of a geometry-optimized Sm2YInC structure, from Alexandria.

Summary:
formation energy from the elements	-0.43	eV per atom
crystal system	tetragonal
total magnetic moment	0.0	μB per cell

POSCAR file:
```
Sm2YInC
1.0
-4.139 2.298 1.396
-0.961 -3.728 3.287
2.585 2.484 3.573
C In Sm Y
1 1 2 1
Cartesian
0.000 0.000 0.000 C
-1.258 0.528 4.128 In
-0.481 -1.864 1.643 Sm
1.292 1.242 1.787 Sm
-2.070 1.149 0.698 Y
```